1.
# PmSmC2 (PBE, relaxed)
data_PmSmC2
_symmetry_space_group_name_H-M 'P 1'
_symmetry_Int_Tables_number 1
_cell_length_a 3.9295
_cell_length_b 4.8486
_cell_length_c 4.6563
_cell_angle_alpha 107.49
_cell_angle_beta 114.80
_cell_angle_gamma 66.29
loop_
_symmetry_equiv_pos_as_xyz
'x,y,z'
loop_
_atom_site_label
_atom_site_type_symbol
_atom_site_fract_x
_atom_site_fract_y
_atom_site_fract_z
C1 C 0.6792 0.1124 0.1099
C2 C 0.6342 0.9093 0.8183
Sm1 Sm 0.9077 0.2568 0.7101
Pm1 Pm 0.4077 0.7599 0.2173
# Theoretical density in g/cm³: 7.3
# Density of states at the Fermi level in states/eV/atom: 0.448
# Size of the total moment in μB/f.u.: 0.000
# SG: P1
# Energy relative to the elements in eV/f.u.: -0.6

***

2.
# Pm3SmC2 (PBE, relaxed)
data_Pm3SmC2
_symmetry_space_group_name_H-M 'P 1'
_symmetry_Int_Tables_number 1
_cell_length_a 3.6614
_cell_length_b 8.6650
_cell_length_c 10.0001
_cell_angle_alpha 90.12
_cell_angle_beta 79.45
_cell_angle_gamma 77.80
loop_
_symmetry_equiv_pos_as_xyz
'x,y,z'
loop_
_atom_site_label
_atom_site_type_symbol
_atom_site_fract_x
_atom_site_fract_y
_atom_site_fract_z
Pm1 Pm 0.3084 0.3349 0.0483
Pm2 Pm 0.1918 0.1653 0.4510
Pm3 Pm 0.6916 0.6651 0.9517
Pm4 Pm 0.0581 0.0854 0.7984
Pm5 Pm 0.9419 0.9146 0.2016
Pm6 Pm 0.8082 0.8347 0.5490
Sm1 Sm 0.4420 0.4144 0.7016
Sm2 Sm 0.5580 0.5856 0.2984
C1 C 0.8751 0.3759 0.8739
C2 C 0.6246 0.1259 0.6248
C3 C 0.1249 0.6241 0.1261
C4 C 0.3754 0.8741 0.3752
# Theoretical density in g/cm³: 6.6
# Density of states at the Fermi level in states/eV/atom: 0.709
# Size of the total moment in μB/f.u.: 0.001
# SG: C2/m
# Energy relative to the elements in eV/f.u.: -0.9

***

3.
# PmSm2C3 (PBE, relaxed)
data_PmSm2C3
_symmetry_space_group_name_H-M 'P 1'
_symmetry_Int_Tables_number 1
_cell_length_a 5.8812
_cell_length_b 7.1634
_cell_length_c 7.1634
_cell_angle_alpha 66.33
_cell_angle_beta 65.76
_cell_angle_gamma 65.76
loop_
_symmetry_equiv_pos_as_xyz
'x,y,z'
loop_
_atom_site_label
_atom_site_type_symbol
_atom_site_fract_x
_atom_site_fract_y
_atom_site_fract_z
Pm1 Pm 0.2500 0.2744 0.2256
Pm2 Pm 0.7500 0.7256 0.7744
Sm1 Sm 0.4265 0.7399 0.4070
Sm2 Sm 0.0735 0.0930 0.7601
Sm3 Sm 0.9265 0.9070 0.2399
Sm4 Sm 0.5735 0.2601 0.5930
C1 C 0.0000 0.0000 0.5000
C2 C 0.8851 0.5000 0.5000
C3 C 0.6149 0.0000 0.0000
C4 C 0.1149 0.5000 0.5000
C5 C 0.3851 0.0000 0.0000
C6 C 0.5000 0.0000 0.5000
# Theoretical density in g/cm³: 6.6
# Density of states at the Fermi level in states/eV/atom: 0.505
# Size of the total moment in μB/f.u.: 0.000
# SG: Imma
# Energy relative to the elements in eV/f.u.: 0.0

***

4.
# PmSm2SnC (PBE, relaxed)
data_PmSm2SnC
_symmetry_space_group_name_H-M 'P 1'
_symmetry_Int_Tables_number 1
_cell_length_a 5.0598
_cell_length_b 5.0321
_cell_length_c 5.0321
_cell_angle_alpha 90.00
_cell_angle_beta 90.00
_cell_angle_gamma 90.00
loop_
_symmetry_equiv_pos_as_xyz
'x,y,z'
loop_
_atom_site_label
_atom_site_type_symbol
_atom_site_fract_x
_atom_site_fract_y
_atom_site_fract_z
Pm1 Pm 0.5000 0.0000 0.0000
Sn1 Sn 0.5000 0.5000 0.5000
C1 C 0.0000 0.0000 0.0000
Sm1 Sm 0.0000 0.0000 0.5000
Sm2 Sm 0.0000 0.5000 0.0000
# Theoretical density in g/cm³: 7.5
# Density of states at the Fermi level in states/eV/atom: 0.497
# Size of the total moment in μB/f.u.: 0.000
# SG: P4/mmm
# Energy relative to the elements in eV/f.u.: -2.6

***

5.
# PmSm2Tc2C4 (PBE, relaxed)
data_PmSm2Tc2C4
_symmetry_space_group_name_H-M 'P 1'
_symmetry_Int_Tables_number 1
_cell_length_a 3.5556
_cell_length_b 7.0551
_cell_length_c 6.1996
_cell_angle_alpha 109.18
_cell_angle_beta 90.00
_cell_angle_gamma 104.60
loop_
_symmetry_equiv_pos_as_xyz
'x,y,z'
loop_
_atom_site_label
_atom_site_type_symbol
_atom_site_fract_x
_atom_site_fract_y
_atom_site_fract_z
Pm1 Pm 0.0000 0.0000 0.0000
Sm1 Sm 0.8631 0.7262 0.4658
Sm2 Sm 0.1369 0.2738 0.5342
C1 C 0.4534 0.9067 0.2498
C2 C 0.5466 0.0933 0.7502
C3 C 0.7774 0.5547 0.7906
C4 C 0.2226 0.4453 0.2094
Tc1 Tc 0.3194 0.6388 0.0082
Tc2 Tc 0.6806 0.3612 0.9918
# Theoretical density in g/cm³: 8.1
# Density of states at the Fermi level in states/eV/atom: 0.584
# Size of the total moment in μB/f.u.: 0.000
# SG: C2/m
# Energy relative to the elements in eV/f.u.: 0.2

***

6.
# PmSmThC (PBE, relaxed)
data_PmSmThC
_symmetry_space_group_name_H-M 'P 1'
_symmetry_Int_Tables_number 1
_cell_length_a 3.6538
_cell_length_b 3.6548
_cell_length_c 9.6084
_cell_angle_alpha 89.99
_cell_angle_beta 100.94
_cell_angle_gamma 120.01
loop_
_symmetry_equiv_pos_as_xyz
'x,y,z'
loop_
_atom_site_label
_atom_site_type_symbol
_atom_site_fract_x
_atom_site_fract_y
_atom_site_fract_z
Th1 Th 0.0692 0.9324 0.0175
Pm1 Pm 0.9713 0.3839 0.3696
C1 C 0.3072 0.5514 0.8739
Sm1 Sm 0.5302 0.1630 0.7087
# Theoretical density in g/cm³: 8.3
# Density of states at the Fermi level in states/eV/atom: 1.098
# Size of the total moment in μB/f.u.: 0.000
# SG: R3m
# Energy relative to the elements in eV/f.u.: -0.5

***

7.
# PmSm2TlC (PBE, relaxed)
data_PmSm2TlC
_symmetry_space_group_name_H-M 'P 1'
_symmetry_Int_Tables_number 1
_cell_length_a 5.0851
_cell_length_b 5.0584
_cell_length_c 5.0584
_cell_angle_alpha 90.00
_cell_angle_beta 90.00
_cell_angle_gamma 90.00
loop_
_symmetry_equiv_pos_as_xyz
'x,y,z'
loop_
_atom_site_label
_atom_site_type_symbol
_atom_site_fract_x
_atom_site_fract_y
_atom_site_fract_z
Pm1 Pm 0.5000 0.0000 0.0000
Sm1 Sm 0.0000 0.5000 0.0000
Sm2 Sm 0.0000 0.0000 0.5000
C1 C 0.0000 0.0000 0.0000
Tl1 Tl 0.5000 0.5000 0.5000
# Theoretical density in g/cm³: 8.4
# Density of states at the Fermi level in states/eV/atom: 0.397
# Size of the total moment in μB/f.u.: 0.000
# SG: P4/mmm
# Energy relative to the elements in eV/f.u.: -1.7

***

8.
# Pm6Sn3C2 (PBE, relaxed)
data_Pm6Sn3C2
_symmetry_space_group_name_H-M 'P 1'
_symmetry_Int_Tables_number 1
_cell_length_a 4.9333
_cell_length_b 4.9333
_cell_length_c 13.2481
_cell_angle_alpha 100.73
_cell_angle_beta 100.73
_cell_angle_gamma 90.00
loop_
_symmetry_equiv_pos_as_xyz
'x,y,z'
loop_
_atom_site_label
_atom_site_type_symbol
_atom_site_fract_x
_atom_site_fract_y
_atom_site_fract_z
C1 C 0.3944 0.3944 0.7888
C2 C 0.6056 0.6056 0.2112
Pm1 Pm 0.6969 0.6969 0.3939
Pm2 Pm 0.5844 0.0844 0.1688
Pm3 Pm 0.3031 0.3031 0.6061
Pm4 Pm 0.4156 0.9156 0.8312
Pm5 Pm 0.9156 0.4156 0.8312
Pm6 Pm 0.0844 0.5844 0.1688
Sn1 Sn 0.8242 0.8242 0.6485
Sn2 Sn 0.1758 0.1758 0.3515
Sn3 Sn 0.0000 0.0000 0.0000
# Theoretical density in g/cm³: 6.7
# Density of states at the Fermi level in states/eV/atom: 0.544
# Size of the total moment in μB/f.u.: 0.000
# SG: I4/mmm
# Energy relative to the elements in eV/f.u.: -4.5

***

9.
# Pm3Sn2C (PBE, relaxed)
data_Pm3Sn2C
_symmetry_space_group_name_H-M 'P 1'
_symmetry_Int_Tables_number 1
_cell_length_a 6.4091
_cell_length_b 7.1022
_cell_length_c 7.9478
_cell_angle_alpha 100.35
_cell_angle_beta 113.78
_cell_angle_gamma 90.00
loop_
_symmetry_equiv_pos_as_xyz
'x,y,z'
loop_
_atom_site_label
_atom_site_type_symbol
_atom_site_fract_x
_atom_site_fract_y
_atom_site_fract_z
Pm1 Pm 0.9496 0.9137 0.7636
Pm2 Pm 0.4363 0.2500 0.0000
Pm3 Pm 0.5637 0.7500 0.0000
Pm4 Pm 0.0504 0.0863 0.2364
Pm5 Pm 0.1860 0.5863 0.2364
Pm6 Pm 0.8140 0.4137 0.7636
C1 C 0.9333 0.7500 0.0000
C2 C 0.0667 0.2500 0.0000
Sn1 Sn 0.2285 0.4391 0.6268
Sn2 Sn 0.3983 0.9391 0.6268
Sn3 Sn 0.7715 0.5609 0.3732
Sn4 Sn 0.6017 0.0609 0.3732
# Theoretical density in g/cm³: 7.0
# Density of states at the Fermi level in states/eV/atom: 0.603
# Size of the total moment in μB/f.u.: 0.000
# SG: C2/c
# Energy relative to the elements in eV/f.u.: -2.2

***

10.
# Pm6Sn2C (PBE, relaxed)
data_Pm6Sn2C
_symmetry_space_group_name_H-M 'P 1'
_symmetry_Int_Tables_number 1
_cell_length_a 7.0921
_cell_length_b 7.0911
_cell_length_c 10.0577
_cell_angle_alpha 90.00
_cell_angle_beta 90.00
_cell_angle_gamma 90.00
loop_
_symmetry_equiv_pos_as_xyz
'x,y,z'
loop_
_atom_site_label
_atom_site_type_symbol
_atom_site_fract_x
_atom_site_fract_y
_atom_site_fract_z
Sn1 Sn 0.5000 0.0001 0.2500
Sn2 Sn 0.0000 0.5001 0.2500
Sn3 Sn 0.0000 0.4999 0.7500
Sn4 Sn 0.5000 0.9999 0.7500
Pm1 Pm 0.5000 0.5002 0.2456
Pm2 Pm 0.2542 0.2536 0.9999
Pm3 Pm 0.0000 0.0002 0.2544
Pm4 Pm 0.2463 0.2458 0.5001
Pm5 Pm 0.7458 0.7464 0.0001
Pm6 Pm 0.7537 0.7542 0.4999
Pm7 Pm 0.2458 0.7536 0.5001
Pm8 Pm 0.5000 0.4998 0.7544
Pm9 Pm 0.0000 0.9998 0.7456
Pm10 Pm 0.7542 0.2464 0.4999
Pm11 Pm 0.7463 0.2542 0.0001
Pm12 Pm 0.2537 0.7458 0.9999
C1 C 0.0000 0.0000 0.5000
C2 C 0.5000 0.5000 0.0000
# Theoretical density in g/cm³: 7.3
# ΔE to the lowest computed polymorph in meV/atom: 0
# Density of states at the Fermi level in states/eV/atom: 0.843
# Size of the total moment in μB/f.u.: 0.000
# SG: I4/mmm
# Energy relative to the elements in eV/f.u.: -4.1